1.
Density functional theory data (meta-GGA SCAN) for a PBEsol-optimized structure of Be2PdI.

The structure belongs to space group Fm-3m (No. 225); the cell edges are 6.177, 6.177 and 6.177 Å and the angles 90.00°, 90.00° and 90.00°. The distinct sites, in fractional coordinates, are Be at (0.250, 0.250, 0.250), Pd at (0.000, 0.000, 0.000) and I at (0.000, 0.000, 0.500).

The total magnetic moment is 0.00 μB/f.u. The calculation puts the electronic total energy at -18.719 eV/atom. The calculation puts the energy relative to the elements, uncorrected at 0.8364 eV per atom. As for the volume: 235.7 Å³/cell.

---

2.
Density functional theory data (meta-GGA SCAN) for a PBEsol-optimized structure of Ta2BePdI.

The structure belongs to space group P4/mmm (No. 123); the cell edges are 4.949, 4.949 and 4.747 Å and the angles 90.00°, 90.00° and 90.00°. The distinct sites, in fractional coordinates, are Ta at (0.000, 0.500, 0.000), Be at (0.000, 0.000, 0.500), Pd at (0.500, 0.500, 0.500) and I at (0.500, 0.500, 0.000).

The total magnetic moment is 0.00 μB/f.u. The calculation puts the electronic total energy at -39.246 eV/atom. The calculation puts the energy relative to the elements, uncorrected at 2.1610 eV per atom. As for the volume: 116.2 Å³/cell.

---

3.
Density functional theory data (meta-GGA SCAN) for a PBEsol-optimized structure of BeTe2PtI.

The structure belongs to space group P4/mmm (No. 123); the cell edges are 4.874, 4.874 and 4.770 Å and the angles 90.00°, 90.00° and 90.00°. The distinct sites, in fractional coordinates, are Be at (0.000, 0.000, 0.000), Te at (0.000, 0.500, 0.000), Pt at (0.500, 0.500, 0.500) and I at (0.000, 0.000, 0.500).

The total magnetic moment is 0.00 μB/f.u. The calculation puts the electronic total energy at -36.272 eV/atom. The calculation puts the energy relative to the elements, uncorrected at 0.8860 eV per atom. As for the volume: 113.3 Å³/cell.

---

4.
Density functional theory data (meta-GGA SCAN) for a PBEsol-optimized structure of BeReI2.

The structure belongs to space group Fm-3m (No. 225); the cell edges are 6.672, 6.672 and 6.672 Å and the angles 90.00°, 90.00° and 90.00°. The distinct sites, in fractional coordinates, are Be at (0.000, 0.000, 0.000), Re at (0.000, 0.000, 0.500) and I at (0.250, 0.250, 0.250).

The total magnetic moment is 0.00 μB/f.u. The calculation puts the electronic total energy at -35.659 eV/atom. The calculation puts the energy relative to the elements, uncorrected at 1.5747 eV per atom. As for the volume: 297.0 Å³/cell. The calculation puts the excess energy over the best structure of this formula in the dataset at 336 meV per atom.

---

5.
Density functional theory data (meta-GGA SCAN) for a PBEsol-optimized structure of BeReI2.

The structure belongs to space group I-42d (No. 122); the cell edges are 5.780, 5.780 and 11.269 Å and the angles 90.00°, 90.00° and 90.00°. The distinct sites, in fractional coordinates, are Be at (0.000, 0.000, 0.000), Re at (0.000, 0.000, 0.500) and I at (0.226, 0.250, 0.125).

The total magnetic moment is 0.00 μB/f.u. The calculation puts the electronic total energy at -35.995 eV/atom. The calculation puts the energy relative to the elements, uncorrected at 1.2382 eV per atom. As for the volume: 376.5 Å³/cell. The calculation puts the excess energy over the best structure of this formula in the dataset at 0 meV per atom.

---

6.
Density functional theory data (meta-GGA SCAN) for a PBEsol-optimized structure of Be2ReSnI.

The structure belongs to space group P4/mmm (No. 123); the cell edges are 4.543, 4.543 and 5.158 Å and the angles 90.00°, 90.00° and 90.00°. The distinct sites, in fractional coordinates, are Be at (0.000, 0.500, 0.000), Re at (0.000, 0.000, 0.000), Sn at (0.000, 0.000, 0.500) and I at (0.500, 0.500, 0.500).

The total magnetic moment is 1.08 μB/f.u. The calculation puts the electronic total energy at -29.416 eV/atom. The calculation puts the energy relative to the elements, uncorrected at 1.0770 eV per atom. As for the volume: 106.4 Å³/cell.

---

7.
Density functional theory data (meta-GGA SCAN) for a PBEsol-optimized structure of BeTcRh2I.

The structure belongs to space group P4/mmm (No. 123); the cell edges are 4.695, 4.695 and 4.766 Å and the angles 90.00°, 90.00° and 90.00°. The distinct sites, in fractional coordinates, are Be at (0.000, 0.000, 0.000), Tc at (0.500, 0.500, 0.000), Rh at (0.000, 0.500, 0.500) and I at (0.500, 0.500, 0.500).

The total magnetic moment is 2.57 μB/f.u. The calculation puts the electronic total energy at -26.968 eV/atom. The calculation puts the energy relative to the elements, uncorrected at 1.7712 eV per atom. As for the volume: 105.1 Å³/cell.

---

8.
Density functional theory data (meta-GGA SCAN) for a PBEsol-optimized structure of BeS2I.

The structure belongs to space group R-3m (No. 166, hexagonal axes); the cell edges are 3.6073, 3.6073 and 24.2668 Å and the angles 90.00°, 90.00° and 120.00°. The distinct sites, in fractional coordinates, are Be at (0.0000, 0.0000, 0.0000), S at (0.0000, 0.0000, 0.0784) and I at (0.0000, 0.0000, 0.5000).

The total magnetic moment is 0.00 μB/f.u. The calculation puts the electronic total energy at -14.585 eV/atom. The calculation puts the energy relative to the elements, uncorrected at 0.5030 eV per atom. As for the volume: 273.5 Å³/cell.

---

Q: What is the electronic total energy in the fifth record?
A: -35.995 eV/atom

---

Q: Which value of electronic total energy does entry 2 give?
A: -39.246 eV/atom

---

Copy entry 2 word for word.
Density functional theory data (meta-GGA SCAN) for a PBEsol-optimized structure of Ta2BePdI.

The structure belongs to space group P4/mmm (No. 123); the cell edges are 4.949, 4.949 and 4.747 Å and the angles 90.00°, 90.00° and 90.00°. The distinct sites, in fractional coordinates, are Ta at (0.000, 0.500, 0.000), Be at (0.000, 0.000, 0.500), Pd at (0.500, 0.500, 0.500) and I at (0.500, 0.500, 0.000).

The total magnetic moment is 0.00 μB/f.u. The calculation puts the electronic total energy at -39.246 eV/atom. The calculation puts the energy relative to the elements, uncorrected at 2.1610 eV per atom. As for the volume: 116.2 Å³/cell.